1.
Computed, not measured: RbPrSe2 after structural relaxation at the GGA-PBE level of DFT.

Space-group type: P4/mmm
Formation energy (no corrections), eV/atom: -1.51
DOS(E_F), states/eV per atom: 0.115
V, Å³/atom: 29.7
ρ, g cm⁻³: 5.373

Lattice parameters (Å, degrees): 3.7918 3.7918 8.2612 90.00 90.00 90.00
Element x y z (fractional)
1 Se 0.0000 0.0000 0.2064
2 Se 0.0000 0.0000 0.7936
3 Pr 0.5000 0.5000 0.0000
4 Rb 0.5000 0.5000 0.5000

=====

2.
Computed, not measured: Sr2MgAlO after structural relaxation at the GGA-PBE level of DFT.

Space-group type: P4/mmm
Formation energy (no corrections), eV/atom: -1.04
DOS(E_F), states/eV per atom: 0.347
V, Å³/atom: 24.1
ρ, g cm⁻³: 3.342

Lattice parameters (Å, degrees): 5.3142 5.3142 4.2673 90.00 90.00 90.00
Element x y z (fractional)
1 Sr 0.0000 0.5000 0.0000
2 Sr 0.5000 0.0000 0.0000
3 Mg 0.0000 0.0000 0.5000
4 Al 0.5000 0.5000 0.5000
5 O 0.0000 0.0000 0.0000

=====

3.
Computed, not measured: AcLa4PrDy2 after structural relaxation at the GGA-PBE level of DFT.

Space-group type: C2/m
Energy relative to the elements, meV per atom: 28.6
DOS(E_F), states/eV per atom: 1.785
V, Å³/atom: 36.5
ρ, g cm⁻³: 7.109

Lattice parameters (Å, degrees): 5.2611 6.4377 9.8550 89.57 74.52 65.88
Element x y z (fractional)
1 Ac 0.5000 0.5000 0.5000
2 La 0.3742 0.3749 0.8767
3 La 0.6258 0.6251 0.1233
4 La 0.8762 0.8762 0.3713
5 La 0.1238 0.1238 0.6287
6 Dy 0.2544 0.2453 0.2460
7 Dy 0.7456 0.7547 0.7540
8 Pr 0.0000 0.0000 0.0000

=====

4.
Computed, not measured: Nd8AlAu2 after structural relaxation at the GGA-PBE level of DFT.

Space-group type: Immm
Energy relative to the elements, meV per atom: -255.5
E above lowest polymorph, meV per atom: 75
DOS(E_F), states/eV per atom: 1.436
V, Å³/atom: 29.7
ρ, g cm⁻³: 8.012

Lattice parameters (Å, degrees): 5.0487 8.4553 9.0936 117.70 106.10 90.00
Element x y z (fractional)
1 Nd 0.8662 0.8659 0.7318
2 Nd 0.1338 0.1341 0.2682
3 Nd 0.0000 0.3126 0.0000
4 Nd 0.0000 0.6874 0.0000
5 Nd 0.3365 0.1121 0.6727
6 Nd 0.3365 0.5606 0.6727
7 Nd 0.6635 0.4394 0.3273
8 Nd 0.6635 0.8879 0.3273
9 Au 0.8069 0.3064 0.6127
10 Au 0.1931 0.6936 0.3873
11 Al 0.5000 0.0000 0.0000

=====

Question: Look up the DOS(E_F) of the third one.
Answer: 1.785 states/eV per atom

=====

Question: Which of these has the lowest ρ?
Answer: Sr2MgAlO